VASP calculation (PBE) on a relaxed MgCu4Ru crystal.

Geometry as CIF:
```
data_MgCu4Ru
_chemical_formula_sum 'Mg4 Cu16 Ru4'
_cell_length_a 6.833
_cell_length_b 6.833
_cell_length_c 6.833
_cell_angle_alpha 90.00
_cell_angle_beta 90.00
_cell_angle_gamma 90.00
_space_group_name_H-M_alt 'F -4 3 m'
_space_group_IT_number 216
_space_group_name_Hall 'F -4 2 3'
loop_
_atom_site_label
_atom_site_type_symbol
_atom_site_fract_x
_atom_site_fract_y
_atom_site_fract_z
Mg1 Mg 0.000 0.000 0.000
Cu1 Cu 0.125 0.125 0.625
Ru1 Ru 0.250 0.250 0.250
```

The total energy is -4.461 eV/atom. The calculation puts the formation energy from the elements at 0.08 eV/atom. For the volume, the calculation gives 13.296 Å³ per atom.